This record from the Alexandria database describes KOsO2 after structural relaxation. The functional is PBE.

Summary:
Raw formation energy, meV per atom: 437
DOS at the Fermi energy, states/eV/cell: 2.6
Calculated volume, Å³/f.u.: 47
Energy, eV per atom: -5.12

Cell: 4.0540 4.0540 4.0540 Å, 60.00 60.00 60.00°
Last column: nearest neighbours and their distance in Å.
Sites, in units of the cell vectors:
1 K 0.0000 0.0000 0.0000  8 O 2.48
2 Os 0.5000 0.5000 0.5000  8 O 2.48
3 O 0.2500 0.2500 0.2500  4 K 2.48, 4 Os 2.48
4 O 0.7500 0.7500 0.7500  4 K 2.48, 4 Os 2.48

=====

This record from the Alexandria database describes K2Os2O7 after structural relaxation. The functional is PBE.

Summary:
Raw formation energy, meV per atom: -1175
DOS at the Fermi energy, states/eV/cell: 0.9
Calculated volume, Å³/f.u.: 231
Energy, eV per atom: -6.57

Cell: 6.7345 6.7345 5.2901 Å, 93.05 93.05 105.08°
Last column: nearest neighbours and their distance in Å.
Sites, in units of the cell vectors:
1 K 0.2017 0.7983 0.0000  6 O 2.75-2.83
2 K 0.7983 0.2017 0.0000  6 O 2.75-2.83
3 Os 0.2811 0.2811 0.5568  4 O 1.76-1.84
4 Os 0.7189 0.7189 0.4432  4 O 1.76-1.84
5 O 0.1305 0.1305 0.2984  1 Os 1.76
6 O 0.1385 0.4184 0.7435  1 Os 1.79
7 O 0.4184 0.1385 0.7435  1 Os 1.79
8 O 0.5000 0.5000 0.5000  2 Os 1.84
9 O 0.5816 0.8615 0.2565  1 Os 1.79
10 O 0.8615 0.5816 0.2565  1 Os 1.79
11 O 0.8695 0.8695 0.7016  1 Os 1.76

=====

This record from the Alexandria database describes K2OsO3 after structural relaxation. The functional is PBE.

Summary:
Raw formation energy, meV per atom: -1101
DOS at the Fermi energy, states/eV/cell: 4.4
Calculated volume, Å³/f.u.: 94
Energy, eV per atom: -5.82

Cell: 6.1814 6.1814 5.6704 Å, 90.00 90.00 120.00°
Last column: nearest neighbours and their distance in Å.
Sites, in units of the cell vectors:
1 K 0.3333 0.6667 0.0085  3 O 2.54, 1 K 2.74
2 K 0.3333 0.6667 0.4915  3 O 2.54, 1 K 2.74
3 K 0.6667 0.3333 0.5085  3 O 2.54, 1 K 2.74
4 K 0.6667 0.3333 0.9915  3 O 2.54, 1 K 2.74
5 Os 0.0000 0.0000 0.0000  6 O 2.06
6 Os 0.0000 0.0000 0.5000  6 O 2.06
7 O 0.1394 0.2788 0.7500  2 Os 2.06
8 O 0.1394 0.8606 0.7500  2 Os 2.06
9 O 0.2788 0.1394 0.2500  2 Os 2.06
10 O 0.7212 0.8606 0.7500  2 Os 2.06
11 O 0.8606 0.1394 0.2500  2 Os 2.06
12 O 0.8606 0.7212 0.2500  2 Os 2.06